No. 1
{
  "formula": "TeSe",
  "functional": "PBE",
  "state": "optimized geometry",
  "cell": [[-0.3441, -6.5696, -6.3874], [6.6467, 4.2208, -4.6993], [6.3072, -4.8064, 4.6038]],
  "species": ["Te", "Te", "Te", "Te", "Te", "Te", "Te", "Te", "Se", "Se", "Se", "Se", "Se", "Se", "Se", "Se"],
  "frac_coords": [[0.8189, 0.1811, 0.1811], [0.3189, 0.3189, 0.3189], [0.6811, 0.3189, 0.6811], [0.6811, 0.6811, 0.3189], [0.1811, 0.1811, 0.8189], [0.3189, 0.6811, 0.6811], [0.8189, 0.8189, 0.8189], [0.1811, 0.8189, 0.1811], [0.6606, 0.3394, 0.3394], [0.8394, 0.1606, 0.8394], [0.6606, 0.6606, 0.6606], [0.1606, 0.1606, 0.1606], [0.3394, 0.3394, 0.6606], [0.8394, 0.8394, 0.1606], [0.1606, 0.8394, 0.8394], [0.3394, 0.6606, 0.3394]],
  "e_form_raw_ev_per_atom": 0.288,
  "space_group": "I-43m"
}

=====

No. 2
{
  "formula": "Ba2BiPt",
  "functional": "PBE",
  "state": "optimized geometry",
  "cell": [[9.1621, 0.0000, 0.0000], [0.0000, 9.1621, 0.0000], [4.5811, 4.5811, 3.4843]],
  "species": ["Ba", "Ba", "Ba", "Ba", "Pt", "Pt", "Bi", "Bi"],
  "frac_coords": [[0.5703, 0.1250, 0.2500], [0.3750, 0.4297, 0.7500], [0.8750, 0.8203, 0.7500], [0.1797, 0.6250, 0.2500], [0.5000, 0.5000, 0.0000], [0.2500, 0.7500, 0.5000], [0.7500, 0.2500, 0.5000], [0.0000, 0.0000, 0.0000]],
  "formation_enthalpy_0k_mev_per_atom": -531.5,
  "space_group": "I-42d"
}

=====

Please write out number 2 again, unchanged.
{
  "formula": "Ba2BiPt",
  "functional": "PBE",
  "state": "optimized geometry",
  "cell": [[9.1621, 0.0000, 0.0000], [0.0000, 9.1621, 0.0000], [4.5811, 4.5811, 3.4843]],
  "species": ["Ba", "Ba", "Ba", "Ba", "Pt", "Pt", "Bi", "Bi"],
  "frac_coords": [[0.5703, 0.1250, 0.2500], [0.3750, 0.4297, 0.7500], [0.8750, 0.8203, 0.7500], [0.1797, 0.6250, 0.2500], [0.5000, 0.5000, 0.0000], [0.2500, 0.7500, 0.5000], [0.7500, 0.2500, 0.5000], [0.0000, 0.0000, 0.0000]],
  "formation_enthalpy_0k_mev_per_atom": -531.5,
  "space_group": "I-42d"
}